Below is a relaxed structure of Li3Fe4P6O24, with properties calculated at the PBE+U level.

ρ (g/cm3): 2.9
Energy above the most stable polymorph in this dataset (meV/atom): 0
Calculated total energy (eV per atom): -6.786

Structure (CIF):
```
data_Li3Fe4P6O24
_chemical_formula_sum 'Li3 Fe4 P6 O24'
_space_group_name_H-M_alt 'P 1'
_space_group_IT_number 1
_cell_length_a 8.6965
_cell_length_b 8.7012
_cell_length_c 8.7143
_cell_angle_alpha 119.35
_cell_angle_beta 119.65
_cell_angle_gamma 90.67
loop_
_space_group_symop_operation_xyz
'x,y,z'
loop_
_atom_site_label
_atom_site_type_symbol
_atom_site_fract_x
_atom_site_fract_y
_atom_site_fract_z
_atom_site_occupancy
Li1 Li 0.0000 0.0000 0.0000 1
Li2 Li 0.1176 0.6434 0.7253 1
Li3 Li 0.5632 0.3345 0.8651 1
Fe1 Fe 0.1296 0.1822 0.5755 1
Fe2 Fe 0.4844 0.9643 0.1535 1
Fe3 Fe 0.6333 0.6800 0.5710 1
Fe4 Fe 0.9888 0.4612 0.1492 1
P1 P 0.3082 0.8583 0.6493 1
P2 P 0.3089 0.2800 0.3631 1
P3 P 0.3195 0.5649 0.0730 1
P4 P 0.7988 0.0797 0.6525 1
P5 P 0.8091 0.3641 0.3618 1
P6 P 0.8085 0.7847 0.0749 1
O1 O 0.0025 0.3524 0.5015 1
O2 O 0.1149 0.2907 0.2232 1
O3 O 0.1322 0.6887 0.4441 1
O4 O 0.1503 0.5108 0.0715 1
O5 O 0.2959 0.7168 0.0249 1
O6 O 0.2986 0.0862 0.1955 1
O7 O 0.3013 0.0451 0.6720 1
O8 O 0.3129 0.8719 0.8362 1
O9 O 0.3239 0.3997 0.8904 1
O10 O 0.3263 0.2690 0.5438 1
O11 O 0.4742 0.4441 0.4688 1
O12 O 0.4844 0.8288 0.6562 1
O13 O 0.5040 0.6324 0.2863 1
O14 O 0.6149 0.0123 0.4386 1
O15 O 0.6325 0.8151 0.0678 1
O16 O 0.6431 0.2003 0.2554 1
O17 O 0.7926 0.3764 0.1824 1
O18 O 0.7948 0.2458 0.8345 1
O19 O 0.8044 0.7713 0.8882 1
O20 O 0.8126 0.5967 0.0506 1
O21 O 0.8196 0.5578 0.5299 1
O22 O 0.8217 0.9280 0.7008 1
O23 O 0.9683 0.1332 0.6540 1
O24 O 0.9852 0.9533 0.2803 1
```